[1]
Compound: TmZnGa
Source: Alexandria via LeMat-Bulk
Functional: PBE
Structure: optimized geometry

The value obtained for the total energy is -20.83 eV for the cell shown. Its density of states at the Fermi level is 2.12 states/eV/cell. The calculated volume is 19.587 Å³/atom. The formation energy is -159 kJ/mol of formula units.

CIF file:
```
data_TmZnGa
_cell_length_a 4.3850
_cell_length_b 4.3850
_cell_length_c 7.0573
_cell_angle_alpha 90.00
_cell_angle_beta 90.00
_cell_angle_gamma 120.00
_space_group_name_H-M_alt 'P 63/m m c'
_space_group_IT_number 194
_space_group_name_Hall '-P 6c 2c'
loop_
_atom_site_label
_atom_site_type_symbol
_atom_site_fract_x
_atom_site_fract_y
_atom_site_fract_z
Tm1 Tm 0.0000 0.0000 0.0000
Zn1 Zn 0.3333 0.6667 0.2500
Ga1 Ga 0.3333 0.6667 0.7500
```

=====

[2]
Compound: Nd5Sm6Dy
Source: Alexandria via LeMat-Bulk
Functional: PBE
Structure: optimized geometry

The value obtained for the total energy is -113.19 eV for the cell shown. Its density of states at the Fermi level is 34.60 states/eV/cell. The calculated volume is 34.218 Å³/atom. The formation energy is 15 kJ/mol of formula units.

CIF file:
```
data_Nd5Sm6Dy
_cell_length_a 6.313
_cell_length_b 10.931
_cell_length_c 12.086
_cell_angle_alpha 90.00
_cell_angle_beta 100.06
_cell_angle_gamma 90.00
_space_group_name_H-M_alt 'C 1 2/m 1'
_space_group_IT_number 12
_space_group_name_Hall '-C 2y'
loop_
_atom_site_label
_atom_site_type_symbol
_atom_site_fract_x
_atom_site_fract_y
_atom_site_fract_z
Nd1 Nd 0.000 0.000 0.000
Nd2 Nd 0.000 0.167 0.500
Nd3 Nd 0.000 0.333 0.000
Sm1 Sm 0.249 0.334 0.749
Sm2 Sm 0.250 0.000 0.749
Dy1 Dy 0.000 0.500 0.500
```

=====

[3]
Compound: NpV2Ni
Source: Alexandria via LeMat-Bulk
Functional: PBE
Structure: optimized geometry

The calculation puts the energy above the most stable polymorph in this dataset at 101.2 meV per atom. The value obtained for the total energy is -35.77 eV for the cell shown. Its density of states at the Fermi level is 5.19 states/eV/cell. The calculated volume is 14.372 Å³/atom. The formation energy is 115 kJ/mol of formula units.

CIF file:
```
data_NpV2Ni
_cell_length_a 3.168
_cell_length_b 3.168
_cell_length_c 5.729
_cell_angle_alpha 90.00
_cell_angle_beta 90.00
_cell_angle_gamma 90.00
_space_group_name_H-M_alt 'P 4/m m m'
_space_group_IT_number 123
_space_group_name_Hall '-P 4 2'
loop_
_atom_site_label
_atom_site_type_symbol
_atom_site_fract_x
_atom_site_fract_y
_atom_site_fract_z
Np1 Np 0.000 0.000 0.000
V1 V 0.500 0.500 0.248
Ni1 Ni 0.000 0.000 0.500
```

=====

[4]
Compound: ScCdCl2
Source: Alexandria via LeMat-Bulk
Functional: PBE
Structure: optimized geometry

The calculation puts the energy above the most stable polymorph in this dataset at 652.3 meV per atom. The value obtained for the total energy is -13.46 eV for the cell shown. Its density of states at the Fermi level is 2.04 states/eV/cell. For the formation energy (no corrections), the calculation gives -0.63 eV per atom. The calculated volume is 22.304 Å³/atom.

CIF file:
```
data_ScCdCl2
_cell_length_a 4.604
_cell_length_b 4.604
_cell_length_c 4.208
_cell_angle_alpha 90.00
_cell_angle_beta 90.00
_cell_angle_gamma 90.00
_space_group_name_H-M_alt 'P 4/m m m'
_space_group_IT_number 123
_space_group_name_Hall '-P 4 2'
loop_
_atom_site_label
_atom_site_type_symbol
_atom_site_fract_x
_atom_site_fract_y
_atom_site_fract_z
Sc1 Sc 0.000 0.000 0.000
Cd1 Cd 0.500 0.500 0.000
Cl1 Cl 0.000 0.500 0.500
```